Entry 1:
A plane-wave DFT calculation with SCAN was carried out for HfV2Re at its PBEsol-relaxed geometry.

a = 4.379 Å, b = 4.379 Å, c = 4.379 Å
α = 60.00°, β = 60.00°, γ = 60.00°
Positions (direct):
Hf 0.000 0.000 0.000
Re 0.500 0.500 0.500
V 0.750 0.750 0.750
V 0.250 0.250 0.250

Output
- Calculated formation energy: -0.163 eV per atom
- Size of the total moment: 0.0 μB per formula unit
- Density of states at the Fermi level: 5.42 states/eV/f.u.

Entry 2:
A plane-wave DFT calculation with SCAN was carried out for Tl2BN at its PBEsol-relaxed geometry.

a = 4.531 Å, b = 4.531 Å, c = 4.531 Å
α = 60.00°, β = 60.00°, γ = 60.00°
Last column: magnetic moment on the atom in μB.
Positions (direct):
B 0.000 0.000 0.000  0.12
Tl 0.750 0.750 0.750  0.01
Tl 0.250 0.250 0.250  0.01
N 0.500 0.500 0.500  1.03

Output
- Size of the total moment: 1.6 μB per formula unit
- Density of states at the Fermi level: 2.69 states/eV/f.u.
- Uncorrected formation energy: 1829 meV/atom

Entry 3:
A plane-wave DFT calculation with SCAN was carried out for DyZnNi at its PBEsol-relaxed geometry.

a = 3.711 Å, b = 6.879 Å, c = 6.879 Å
α = 120.00°, β = 90.00°, γ = 90.00°
Positions (direct):
Dy 0.000 0.000 0.409
Dy 0.000 0.409 0.000
Dy 0.000 0.591 0.591
Ni 0.500 0.667 0.333
Ni 0.000 0.000 0.000
Ni 0.500 0.333 0.667
Zn 0.500 0.242 0.242
Zn 0.500 0.000 0.758
Zn 0.500 0.758 0.000

Output
- Calculated formation energy: -0.483 eV per atom
- Size of the total moment: 0.0 μB per formula unit
- Density of states at the Fermi level: 1.93 states/eV/f.u.

Entry 4:
A plane-wave DFT calculation with SCAN was carried out for AlOsBr at its PBEsol-relaxed geometry.

a = 4.273 Å, b = 4.273 Å, c = 4.273 Å
α = 60.00°, β = 60.00°, γ = 60.00°
Positions (direct):
Al 0.250 0.250 0.250
Os 0.500 0.500 0.500
Br 0.000 0.000 0.000

Output
- Size of the total moment: 0.0 μB per formula unit
- Density of states at the Fermi level: 1.99 states/eV/f.u.
- Uncorrected formation energy: 1244 meV/atom

Entry 5:
A plane-wave DFT calculation with SCAN was carried out for BaYRh2 at its PBEsol-relaxed geometry.

a = 4.091 Å, b = 4.091 Å, c = 5.962 Å
α = 110.06°, β = 110.06°, γ = 90.00°
Positions (direct):
Rh 0.000 0.000 0.000
Rh 0.750 0.250 0.500
Y 0.500 0.500 0.000
Ba 0.250 0.750 0.500

Output
- Calculated formation energy: -0.018 eV per atom
- Size of the total moment: 0.0 μB per formula unit
- Density of states at the Fermi level: 3.47 states/eV/f.u.

Entry 6:
A plane-wave DFT calculation with SCAN was carried out for LaRuRh2 at its PBEsol-relaxed geometry.

a = 2.916 Å, b = 4.884 Å, c = 4.884 Å
α = 108.47°, β = 90.00°, γ = 90.00°
Positions (direct):
Ru 0.500 0.000 0.000
Rh 0.000 0.000 0.500
Rh 0.000 0.500 0.000
La 0.500 0.500 0.500

Output
- Calculated formation energy: -0.039 eV per atom
- Size of the total moment: 0.0 μB per formula unit
- Density of states at the Fermi level: 3.27 states/eV/f.u.

Entry 7:
A plane-wave DFT calculation with SCAN was carried out for Cr2PN at its PBEsol-relaxed geometry.

a = 3.822 Å, b = 3.822 Å, c = 3.822 Å
α = 60.00°, β = 60.00°, γ = 60.00°
Last column: magnetic moment on the atom in μB.
Positions (direct):
N 0.000 0.000 0.000  -0.40
Cr 0.250 0.250 0.250  1.59
Cr 0.750 0.750 0.750  1.59
P 0.500 0.500 0.500  -0.24

Output
- Size of the total moment: 2.5 μB per formula unit
- Density of states at the Fermi level: 2.32 states/eV/f.u.
- Uncorrected formation energy: 261 meV/atom

Entry 8:
A plane-wave DFT calculation with SCAN was carried out for MgAg2Au at its PBEsol-relaxed geometry.

a = 3.044 Å, b = 4.773 Å, c = 5.046 Å
α = 102.26°, β = 107.55°, γ = 90.00°
Positions (direct):
Mg 0.000 0.500 0.000
Ag 0.751 0.750 0.502
Ag 0.249 0.250 0.498
Au 0.500 0.000 0.000

Output
- Calculated formation energy: -0.280 eV per atom
- Size of the total moment: 0.0 μB per formula unit
- Density of states at the Fermi level: 1.18 states/eV/f.u.

Entry 9:
A plane-wave DFT calculation with SCAN was carried out for AlIn3 at its PBEsol-relaxed geometry.

a = 4.663 Å, b = 4.663 Å, c = 5.404 Å
α = 115.56°, β = 115.56°, γ = 90.00°
Positions (direct):
In 0.500 0.500 0.000
In 0.750 0.250 0.500
In 0.250 0.750 0.500
Al 0.000 0.000 0.000

Output
- Calculated formation energy: 0.158 eV per atom
- Size of the total moment: 0.0 μB per formula unit
- Density of states at the Fermi level: 1.74 states/eV/f.u.

Entry 10:
A plane-wave DFT calculation with SCAN was carried out for YTlAu2 at its PBEsol-relaxed geometry.

a = 3.597 Å, b = 3.597 Å, c = 6.655 Å
α = 90.00°, β = 90.00°, γ = 90.00°
Positions (direct):
Y 0.500 0.500 0.788
Au 0.500 0.500 0.238
Au 0.000 0.000 0.008
Tl 0.000 0.000 0.466

Output
- Calculated formation energy: -0.531 eV per atom
- Size of the total moment: 0.0 μB per formula unit
- Density of states at the Fermi level: 1.52 states/eV/f.u.

Entry 11:
A plane-wave DFT calculation with SCAN was carried out for Al2AgAu at its PBEsol-relaxed geometry.

a = 4.550 Å, b = 4.550 Å, c = 4.550 Å
α = 60.00°, β = 60.00°, γ = 60.00°
Positions (direct):
Al 0.250 0.250 0.250
Al 0.000 0.000 0.000
Au 0.500 0.500 0.500
Ag 0.750 0.750 0.750

Output
- Calculated formation energy: -0.057 eV per atom
- Size of the total moment: 0.0 μB per formula unit
- Density of states at the Fermi level: 1.53 states/eV/f.u.

Entry 12:
A plane-wave DFT calculation with SCAN was carried out for TaSCl3 at its PBEsol-relaxed geometry.

a = 4.756 Å, b = 4.756 Å, c = 4.756 Å
α = 90.00°, β = 90.00°, γ = 90.00°
Last column: magnetic moment on the atom in μB.
Positions (direct):
Cl 0.500 0.000 0.000  0.04
Cl 0.000 0.000 0.500  0.04
Cl 0.000 0.500 0.000  0.04
Ta 0.000 0.000 0.000  -0.13
S 0.500 0.500 0.500  0.89

Output
- Size of the total moment: 1.4 μB per formula unit
- Density of states at the Fermi level: 5.53 states/eV/f.u.
- Uncorrected formation energy: -195 meV/atom

Entry 13:
A plane-wave DFT calculation with SCAN was carried out for NaMoCl2 at its PBEsol-relaxed geometry.

a = 5.296 Å, b = 5.296 Å, c = 7.571 Å
α = 110.47°, β = 110.47°, γ = 90.00°
Positions (direct):
Cl 0.625 0.690 0.750
Cl 0.310 0.875 0.250
Cl 0.125 0.060 0.750
Cl 0.940 0.375 0.250
Na 0.500 0.500 0.000
Na 0.750 0.250 0.500
Mo 0.250 0.750 0.500
Mo 0.000 0.000 0.000

Output
- Size of the total moment: 0.0 μB per formula unit
- Density of states at the Fermi level: 2.46 states/eV/f.u.
- Uncorrected formation energy: -133 meV/atom

Entry 14:
A plane-wave DFT calculation with SCAN was carried out for CaMgW2 at its PBEsol-relaxed geometry.

a = 2.742 Å, b = 4.848 Å, c = 6.027 Å
α = 92.29°, β = 90.00°, γ = 106.43°
Positions (direct):
W 0.747 0.494 0.204
W 0.995 0.990 0.022
Mg 0.258 0.515 0.781
Ca 0.501 0.001 0.493

Output
- Calculated formation energy: 0.705 eV per atom
- Size of the total moment: 0.0 μB per formula unit
- Density of states at the Fermi level: 1.67 states/eV/f.u.

Entry 15:
A plane-wave DFT calculation with SCAN was carried out for LiScAgAs2 at its PBEsol-relaxed geometry.

a = 4.955 Å, b = 4.955 Å, c = 5.190 Å
α = 90.00°, β = 90.00°, γ = 90.00°
Positions (direct):
As 0.500 0.000 0.000
As 0.000 0.500 0.000
Sc 0.000 0.000 0.000
Ag 0.500 0.500 0.500
Li 0.000 0.000 0.500

Output
- Calculated formation energy: 0.362 eV per atom
- Size of the total moment: 0.0 μB per formula unit
- Density of states at the Fermi level: 1.86 states/eV/f.u.

Entry 16:
A plane-wave DFT calculation with SCAN was carried out for Zn2InAs at its PBEsol-relaxed geometry.

a = 3.001 Å, b = 3.727 Å, c = 6.642 Å
α = 90.00°, β = 90.00°, γ = 90.00°
Positions (direct):
Zn 0.000 0.000 0.037
Zn 0.500 0.500 0.249
In 0.500 0.500 0.776
As 0.000 0.000 0.437

Output
- Calculated formation energy: 0.185 eV per atom
- Size of the total moment: 0.0 μB per formula unit
- Density of states at the Fermi level: 1.51 states/eV/f.u.

Entry 17:
A plane-wave DFT calculation with SCAN was carried out for Pr3Ir at its PBEsol-relaxed geometry.

a = 6.468 Å, b = 7.316 Å, c = 9.804 Å
α = 90.00°, β = 90.00°, γ = 90.00°
Positions (direct):
Pr 0.669 0.325 0.565
Pr 0.331 0.675 0.435
Pr 0.169 0.175 0.435
Pr 0.169 0.175 0.065
Pr 0.831 0.825 0.935
Pr 0.831 0.825 0.565
Pr 0.858 0.534 0.250
Pr 0.642 0.034 0.250
Pr 0.669 0.325 0.935
Pr 0.142 0.466 0.750
Pr 0.331 0.675 0.065
Pr 0.358 0.966 0.750
Ir 0.935 0.120 0.750
Ir 0.065 0.880 0.250
Ir 0.565 0.620 0.750
Ir 0.435 0.380 0.250

Output
- Calculated formation energy: -0.535 eV per atom
- Size of the total moment: 0.0 μB per formula unit
- Density of states at the Fermi level: 4.20 states/eV/f.u.

Entry 18:
A plane-wave DFT calculation with SCAN was carried out for LiScI2 at its PBEsol-relaxed geometry.

a = 6.801 Å, b = 7.404 Å, c = 6.801 Å
α = 62.66°, β = 90.00°, γ = 117.34°
Last column: magnetic moment on the atom in μB.
Positions (direct):
Sc 0.000 0.000 0.000  1.05
Sc 0.750 0.500 0.750  1.05
I 0.151 0.750 0.875  0.01
I 0.875 0.250 0.599  0.01
I 0.599 0.750 0.375  0.01
I 0.375 0.250 0.151  0.01
Li 0.250 0.500 0.250  0.01
Li 0.500 0.000 0.500  0.01

Output
- Size of the total moment: 2.0 μB per formula unit
- Density of states at the Fermi level: 1.94 states/eV/f.u.
- Uncorrected formation energy: -659 meV/atom

Entry 19:
A plane-wave DFT calculation with SCAN was carried out for Si2Hg2Sb at its PBEsol-relaxed geometry.

a = 3.457 Å, b = 3.457 Å, c = 9.268 Å
α = 100.75°, β = 100.75°, γ = 90.00°
Positions (direct):
Sb 0.000 0.000 0.000
Si 0.750 0.250 0.500
Si 0.250 0.750 0.500
Hg 0.387 0.387 0.774
Hg 0.613 0.613 0.226

Output
- Size of the total moment: 0.0 μB per formula unit
- Density of states at the Fermi level: 1.61 states/eV/f.u.
- Uncorrected formation energy: 413 meV/atom

Entry 20:
A plane-wave DFT calculation with SCAN was carried out for Tb3Ge3Ru2 at its PBEsol-relaxed geometry.

a = 4.217 Å, b = 5.773 Å, c = 13.809 Å
α = 90.00°, β = 90.00°, γ = 111.42°
Positions (direct):
Ge 0.384 0.768 0.041
Ge 0.666 0.333 0.250
Ge 0.616 0.232 0.959
Ge 0.616 0.232 0.541
Ge 0.384 0.768 0.459
Ge 0.334 0.667 0.750
Ru 0.785 0.571 0.082
Ru 0.785 0.571 0.418
Ru 0.215 0.429 0.918
Ru 0.215 0.429 0.582
Tb 0.078 0.156 0.387
Tb 0.922 0.844 0.887
Tb 0.355 0.709 0.250
Tb 0.645 0.291 0.750
Tb 0.922 0.844 0.613
Tb 0.078 0.156 0.113

Output
- Calculated formation energy: -0.883 eV per atom
- Size of the total moment: 0.0 μB per formula unit
- Density of states at the Fermi level: 3.65 states/eV/f.u.

Entry 21:
A plane-wave DFT calculation with SCAN was carried out for BaLa4Cu5O12 at its PBEsol-relaxed geometry.

a = 3.828 Å, b = 8.564 Å, c = 8.564 Å
α = 90.00°, β = 90.00°, γ = 90.00°
Positions (direct):
O 0.500 0.846 0.589
O 0.000 0.056 0.214
O 0.500 0.154 0.411
O 0.000 0.268 0.606
O 0.500 0.411 0.846
O 0.000 0.606 0.732
O 0.000 0.732 0.394
O 0.000 0.394 0.268
O 0.000 0.786 0.056
O 0.000 0.214 0.944
O 0.000 0.944 0.786
O 0.500 0.589 0.154
La 0.500 0.704 0.873
La 0.500 0.127 0.704
La 0.500 0.873 0.296
La 0.500 0.296 0.127
Cu 0.000 0.000 0.000
Cu 0.000 0.408 0.833
Cu 0.000 0.833 0.592
Cu 0.000 0.592 0.167
Cu 0.000 0.167 0.408
Ba 0.500 0.500 0.500

Output
- Size of the total moment: 0.0 μB per formula unit
- Density of states at the Fermi level: 2.65 states/eV/f.u.
- Uncorrected formation energy: -2329 meV/atom

Entry 22:
A plane-wave DFT calculation with SCAN was carried out for Li2BRh2 at its PBEsol-relaxed geometry.

a = 4.274 Å, b = 5.465 Å, c = 5.465 Å
α = 90.00°, β = 90.00°, γ = 90.00°
Positions (direct):
Li 0.500 0.165 0.665
Li 0.500 0.835 0.335
Li 0.500 0.335 0.165
Li 0.500 0.665 0.835
B 0.000 0.500 0.500
B 0.000 0.000 0.000
Rh 0.000 0.837 0.663
Rh 0.000 0.163 0.337
Rh 0.000 0.337 0.837
Rh 0.000 0.663 0.163

Output
- Calculated formation energy: -0.369 eV per atom
- Size of the total moment: 0.0 μB per formula unit
- Density of states at the Fermi level: 2.00 states/eV/f.u.

Entry 23:
A plane-wave DFT calculation with SCAN was carried out for BeAlFe2 at its PBEsol-relaxed geometry.

a = 2.763 Å, b = 2.763 Å, c = 5.355 Å
α = 90.00°, β = 90.00°, γ = 90.00°
Last column: magnetic moment on the atom in μB.
Positions (direct):
Be 0.500 0.500 0.500  -0.06
Fe 0.000 0.000 0.285  1.40
Fe 0.000 0.000 0.715  1.40
Al 0.500 0.500 0.000  -0.05

Output
- Calculated formation energy: -0.183 eV per atom
- Size of the total moment: 2.6 μB per formula unit
- Density of states at the Fermi level: 2.97 states/eV/f.u.

Entry 24:
A plane-wave DFT calculation with SCAN was carried out for CaYRe2 at its PBEsol-relaxed geometry.

a = 2.905 Å, b = 5.597 Å, c = 6.103 Å
α = 94.77°, β = 80.76°, γ = 121.21°
Positions (direct):
Re 0.805 0.500 0.689
Re 0.195 0.500 0.311
Y 0.000 0.000 0.500
Ca 0.500 0.000 0.000

Output
- Calculated formation energy: 0.648 eV per atom
- Size of the total moment: 0.0 μB per formula unit
- Density of states at the Fermi level: 3.88 states/eV/f.u.

Entry 25:
A plane-wave DFT calculation with SCAN was carried out for CsAsHBr2 at its PBEsol-relaxed geometry.

a = 6.739 Å, b = 6.739 Å, c = 7.918 Å
α = 90.00°, β = 90.00°, γ = 90.00°
Last column: magnetic moment on the atom in μB.
Positions (direct):
Br 0.000 0.500 0.000  0.33
Br 0.500 0.000 0.000  0.33
As 0.000 0.000 0.500  1.26
Cs 0.000 0.000 0.000  0.01
H 0.500 0.500 0.500  0.38

Output
- Size of the total moment: 5.0 μB per formula unit
- Density of states at the Fermi level: 9.52 states/eV/f.u.
- E_tot: -19.466 eV/atom

Entry 26:
A plane-wave DFT calculation with SCAN was carried out for CrNi2 at its PBEsol-relaxed geometry.

a = 2.925 Å, b = 2.925 Å, c = 4.279 Å
α = 109.98°, β = 109.98°, γ = 90.00°
Last column: magnetic moment on the atom in μB.
Positions (direct):
Ni 0.666 0.666 0.331  -0.10
Ni 0.334 0.334 0.669  -0.10
Cr 0.000 0.000 0.000  1.71

Output
- Calculated formation energy: 0.060 eV per atom
- Size of the total moment: 1.5 μB per formula unit
- Density of states at the Fermi level: 2.02 states/eV/f.u.

Entry 27:
A plane-wave DFT calculation with SCAN was carried out for NbSi2Hg at its PBEsol-relaxed geometry.

a = 5.761 Å, b = 5.761 Å, c = 5.761 Å
α = 104.58°, β = 104.58°, γ = 119.77°
Positions (direct):
Hg 0.000 0.000 0.000
Hg 0.250 0.750 0.500
Si 0.125 0.627 0.002
Si 0.373 0.375 0.498
Si 0.625 0.123 0.998
Si 0.877 0.875 0.502
Nb 0.750 0.250 0.500
Nb 0.500 0.500 0.000

Output
- Size of the total moment: 0.0 μB per formula unit
- Density of states at the Fermi level: 3.67 states/eV/f.u.
- Uncorrected formation energy: 582 meV/atom